(1)
VASP calculation (PBE) on crystalline SrHfO3 at its relaxed geometry.

Cell lengths 11.106, 11.106, 11.106 Å; angles 160.00, 160.00, 28.43 degrees
Fractional coordinates of all 10 atoms:
Sr1 0.000 0.000 0.000
Sr2 0.750 0.250 0.500
Hf1 0.134 0.634 0.500
Hf2 0.366 0.866 0.500
O1 0.317 0.317 0.000
O2 0.361 0.109 0.252
O3 0.683 0.683 0.000
O4 0.858 0.109 0.748
O5 0.891 0.142 0.252
O6 0.891 0.639 0.748

Results
space group = I-4m2, No. 119
spin magnetization = 1.55 μB/cell
E = -72.9 eV/cell
density of states at the Fermi level = 0.1364 states/eV per atom



(2)
VASP calculation (PBE) on crystalline SrHfO3 at its relaxed geometry.

Cell lengths 5.787, 5.787, 4.169 Å; angles 90.00, 90.00, 90.00 degrees
Fractional coordinates of all 10 atoms:
Sr1 0.000 0.500 0.000
Sr2 0.500 0.000 0.000
Hf1 0.000 0.000 0.500
Hf2 0.500 0.500 0.500
O1 0.000 0.000 0.000
O2 0.200 0.300 0.500
O3 0.300 0.800 0.500
O4 0.500 0.500 0.000
O5 0.700 0.200 0.500
O6 0.800 0.700 0.500

Results
space group = P4/mbm, No. 127
spin magnetization = 0.00 μB/cell
E = -86.9 eV/cell
density of states at the Fermi level = 0.0000 states/eV per atom



(3)
VASP calculation (PBE) on crystalline SrHfO2 at its relaxed geometry.

Cell lengths 6.507, 6.507, 6.507 Å; angles 131.38, 131.38, 71.21 degrees
Fractional coordinates of all 8 atoms:
Sr1 0.000 0.000 0.000
Sr2 0.750 0.250 0.500
Hf1 0.250 0.750 0.500
Hf2 0.500 0.500 0.000
O1 0.214 0.625 0.089
O2 0.375 0.464 0.589
O3 0.536 0.125 0.911
O4 0.875 0.786 0.411

Results
space group = I-42d, No. 122
spin magnetization = 3.47 μB/cell
E = -61.9 eV/cell
density of states at the Fermi level = 0.5695 states/eV per atom



(4)
VASP calculation (PBE) on crystalline SrHfO3 at its relaxed geometry.

Cell lengths 4.902, 4.902, 4.902 Å; angles 86.00, 86.00, 86.00 degrees
Fractional coordinates of all 5 atoms:
Sr1 0.000 0.000 0.000
Hf1 0.653 0.653 0.653
O1 0.480 0.900 0.900
O2 0.900 0.480 0.900
O3 0.900 0.900 0.480

Results
space group = R3m, No. 160
spin magnetization = 0.00 μB/cell
E = -39.7 eV/cell
density of states at the Fermi level = 0.0000 states/eV per atom



(5)
VASP calculation (PBE) on crystalline SrHfO3 at its relaxed geometry.

Cell lengths 7.540, 7.540, 5.548 Å; angles 90.00, 90.00, 79.02 degrees
Fractional coordinates of all 20 atoms:
Sr1 0.125 0.375 0.250
Sr2 0.375 0.125 0.750
Sr3 0.625 0.875 0.250
Sr4 0.875 0.625 0.750
Hf1 0.162 0.838 0.377
Hf2 0.338 0.662 0.877
Hf3 0.662 0.338 0.123
Hf4 0.838 0.162 0.623
O1 0.097 0.684 0.082
O2 0.109 0.109 0.500
O3 0.184 0.597 0.582
O4 0.316 0.903 0.082
O5 0.391 0.391 0.000
O6 0.403 0.816 0.582
O7 0.597 0.184 0.418
O8 0.609 0.609 0.000
O9 0.684 0.097 0.918
O10 0.816 0.403 0.418
O11 0.891 0.891 0.500
O12 0.903 0.316 0.918

Results
space group = Cmce, No. 64
spin magnetization = 0.00 μB/cell
E = -171.8 eV/cell
density of states at the Fermi level = 0.0000 states/eV per atom



(6)
VASP calculation (PBE) on crystalline SrHfO3 at its relaxed geometry.

Cell lengths 4.334, 4.334, 4.334 Å; angles 90.00, 90.00, 90.00 degrees
Fractional coordinates of all 5 atoms:
Sr1 0.000 0.000 0.000
Hf1 0.500 0.500 0.500
O1 0.000 0.000 0.500
O2 0.000 0.500 0.000
O3 0.500 0.000 0.000

Results
space group = Pm-3m, No. 221
spin magnetization = 0.06 μB/cell
E = -29.3 eV/cell
density of states at the Fermi level = 0.4230 states/eV per atom



(7)
VASP calculation (PBE) on crystalline Sr3Hf2O7 at its relaxed geometry.

Cell lengths 11.068, 11.068, 5.772 Å; angles 90.00, 90.00, 149.77 degrees
Fractional coordinates of all 24 atoms:
Sr1 0.062 0.938 0.750
Sr2 0.250 0.750 0.750
Sr3 0.438 0.562 0.750
Sr4 0.562 0.438 0.250
Sr5 0.750 0.250 0.250
Sr6 0.938 0.062 0.250
Hf1 0.152 0.848 0.250
Hf2 0.348 0.652 0.250
Hf3 0.652 0.348 0.750
Hf4 0.848 0.152 0.750
O1 0.048 0.355 0.049
O2 0.054 0.946 0.250
O3 0.145 0.452 0.549
O4 0.250 0.750 0.250
O5 0.355 0.048 0.549
O6 0.446 0.554 0.250
O7 0.452 0.145 0.049
O8 0.548 0.855 0.951
O9 0.554 0.446 0.750
O10 0.645 0.952 0.451
O11 0.750 0.250 0.750
O12 0.855 0.548 0.451
O13 0.946 0.054 0.750
O14 0.952 0.645 0.951

Results
space group = Ccce, No. 68
spin magnetization = 0.00 μB/cell
E = -198.0 eV/cell
density of states at the Fermi level = 0.0000 states/eV per atom



(8)
VASP calculation (PBE) on crystalline SrHfO3 at its relaxed geometry.

Cell lengths 6.162, 6.162, 6.813 Å; angles 96.14, 96.14, 36.78 degrees
Fractional coordinates of all 10 atoms:
Sr1 0.131 0.131 0.375
Sr2 0.869 0.869 0.625
Hf1 0.372 0.372 0.090
Hf2 0.628 0.628 0.910
O1 0.174 0.174 0.986
O2 0.337 0.337 0.371
O3 0.455 0.455 0.816
O4 0.545 0.545 0.184
O5 0.663 0.663 0.629
O6 0.826 0.826 0.014

Results
space group = C2/m, No. 12
spin magnetization = 0.00 μB/cell
E = -85.9 eV/cell
density of states at the Fermi level = 0.0000 states/eV per atom



(9)
VASP calculation (PBE) on crystalline SrHfO3 at its relaxed geometry.

Cell lengths 3.770, 3.770, 12.417 Å; angles 90.00, 90.00, 120.00 degrees
Fractional coordinates of all 10 atoms:
Sr1 0.333 0.667 0.250
Sr2 0.667 0.333 0.750
Hf1 0.000 0.000 0.000
Hf2 0.000 0.000 0.500
O1 0.000 0.000 0.250
O2 0.000 0.000 0.750
O3 0.333 0.667 0.051
O4 0.333 0.667 0.449
O5 0.667 0.333 0.551
O6 0.667 0.333 0.949

Results
space group = P6_3/mmc, No. 194
spin magnetization = 0.00 μB/cell
E = -78.8 eV/cell
density of states at the Fermi level = 0.0000 states/eV per atom



(10)
VASP calculation (PBE) on crystalline SrHfO3 at its relaxed geometry.

Cell lengths 5.831, 8.213, 5.799 Å; angles 90.00, 90.00, 90.00 degrees
Fractional coordinates of all 20 atoms:
Sr1 0.025 0.250 0.005
Sr2 0.475 0.750 0.505
Sr3 0.525 0.250 0.495
Sr4 0.975 0.750 0.995
Hf1 0.000 0.000 0.500
Hf2 0.000 0.500 0.500
Hf3 0.500 0.000 0.000
Hf4 0.500 0.500 0.000
O1 0.015 0.750 0.433
O2 0.219 0.535 0.781
O3 0.219 0.965 0.781
O4 0.281 0.035 0.281
O5 0.281 0.465 0.281
O6 0.485 0.250 0.933
O7 0.515 0.750 0.067
O8 0.719 0.535 0.719
O9 0.719 0.965 0.719
O10 0.781 0.035 0.219
O11 0.781 0.465 0.219
O12 0.985 0.250 0.567

Results
space group = Pnma, No. 62
spin magnetization = 0.00 μB/cell
E = -174.0 eV/cell
density of states at the Fermi level = 0.0000 states/eV per atom



(11)
VASP calculation (PBE) on crystalline SrHfO2 at its relaxed geometry.

Cell lengths 6.924, 6.924, 6.924 Å; angles 30.27, 30.27, 30.27 degrees
Fractional coordinates of all 4 atoms:
Sr1 0.000 0.000 0.000
Hf1 0.500 0.500 0.500
O1 0.401 0.401 0.401
O2 0.599 0.599 0.599

Results
space group = R-3m, No. 166
spin magnetization = 0.00 μB/cell
E = -31.4 eV/cell
density of states at the Fermi level = 0.1764 states/eV per atom



(12)
VASP calculation (PBE) on crystalline Sr2Hf3O8 at its relaxed geometry.

Cell lengths 6.811, 6.811, 5.479 Å; angles 108.05, 108.05, 57.38 degrees
Fractional coordinates of all 13 atoms:
Sr1 0.220 0.220 0.160
Sr2 0.780 0.780 0.840
Hf1 0.237 0.763 0.500
Hf2 0.500 0.500 0.000
Hf3 0.763 0.237 0.500
O1 0.102 0.102 0.454
O2 0.181 0.614 0.109
O3 0.386 0.819 0.891
O4 0.404 0.404 0.594
O5 0.596 0.596 0.406
O6 0.614 0.181 0.109
O7 0.819 0.386 0.891
O8 0.898 0.898 0.546

Results
space group = C2/m, No. 12
spin magnetization = 0.00 μB/cell
E = -117.0 eV/cell
density of states at the Fermi level = 0.0000 states/eV per atom